ErZn5 | Alexandria via LeMat-Bulk | GGA-PBEsol | relaxed; formation energy = -1.72 eV/f.u.
1.0
8.680 0.000 0.000
-4.340 7.517 0.000
0.000 0.000 8.861
Er Zn
6 30
direct
0.624 0.812 0.250
0.812 0.188 0.750
0.812 0.624 0.750
0.188 0.376 0.250
0.188 0.812 0.250
0.376 0.188 0.750
0.000 0.000 0.500
0.000 0.000 0.000
0.333 0.667 0.482
0.667 0.333 0.982
0.667 0.333 0.518
0.333 0.667 0.018
0.000 0.500 0.500
0.500 0.500 0.000
0.500 0.000 0.000
0.500 0.000 0.500
0.500 0.500 0.500
0.000 0.500 0.000
0.864 0.432 0.250
0.432 0.568 0.750
0.432 0.864 0.750
0.568 0.136 0.250
0.568 0.432 0.250
0.136 0.568 0.750
0.322 0.161 0.408
0.161 0.839 0.908
0.161 0.322 0.908
0.839 0.678 0.408
0.839 0.161 0.408
0.678 0.839 0.592
0.161 0.839 0.592
0.678 0.839 0.908
0.161 0.322 0.592
0.839 0.678 0.092
0.322 0.161 0.092
0.839 0.161 0.092


ErZn | Alexandria via LeMat-Bulk | GGA-PBEsol | relaxed; formation energy = -0.70 eV/f.u.
1.0
-1.992 -2.703 0.884
-0.836 -0.475 -3.336
2.718 -2.127 -0.379
Zn Er
1 1
direct
0.500 0.500 0.500
0.000 0.000 0.000


Er6Zn23 | Alexandria via LeMat-Bulk | GGA-PBEsol | relaxed; formation energy = -9.42 eV/f.u.
1.0
8.756 0.000 0.000
4.378 7.583 0.000
4.378 2.528 7.149
Er Zn
6 23
direct
0.206 0.794 0.206
0.794 0.794 0.206
0.206 0.206 0.794
0.794 0.206 0.206
0.206 0.794 0.794
0.794 0.206 0.794
0.514 0.829 0.829
0.171 0.171 0.171
0.171 0.486 0.171
0.171 0.171 0.486
0.829 0.514 0.829
0.829 0.829 0.514
0.500 0.500 0.500
0.500 0.000 0.500
0.500 0.000 0.000
0.000 0.500 0.500
0.000 0.500 0.000
0.500 0.500 0.000
0.000 0.000 0.500
0.867 0.378 0.378
0.622 0.622 0.622
0.622 0.622 0.133
0.622 0.133 0.622
0.378 0.378 0.867
0.378 0.867 0.378
0.378 0.378 0.378
0.133 0.622 0.622
0.486 0.171 0.171
0.829 0.829 0.829


ErZn12 | Alexandria via LeMat-Bulk | GGA-PBEsol | relaxed; formation energy = -2.46 eV/f.u.
1.0
-3.741 -1.686 2.904
1.944 -0.959 6.298
-3.429 4.967 2.818
Er Zn
1 12
direct
0.000 0.000 0.000
0.285 0.215 0.215
0.500 0.000 0.500
0.000 0.500 0.000
0.500 0.500 0.000
0.000 0.000 0.500
0.646 0.354 0.354
0.000 0.646 0.354
0.000 0.354 0.646
0.354 0.646 0.646
0.715 0.785 0.785
0.500 0.215 0.785
0.500 0.785 0.215


Er2Zn17 | Alexandria via LeMat-Bulk | GGA-PBEsol | relaxed; formation energy = -4.69 eV/f.u.
1.0
6.632 -0.019 -0.017
0.851 6.577 -0.017
0.851 0.746 6.535
Er Zn
2 17
direct
0.665 0.665 0.665
0.335 0.335 0.335
0.352 0.839 0.352
0.352 0.352 0.839
0.100 0.100 0.100
0.900 0.900 0.900
0.000 0.500 0.000
0.500 0.000 0.000
0.000 0.000 0.500
0.702 0.000 0.298
0.000 0.298 0.702
0.298 0.702 0.000
0.298 0.000 0.702
0.000 0.702 0.298
0.702 0.298 0.000
0.648 0.648 0.161
0.648 0.161 0.648
0.161 0.648 0.648
0.839 0.352 0.352


EuF2 | Alexandria via LeMat-Bulk | GGA-PBEsol | relaxed; ΔE_f (raw) = -366.5 kJ/mol of atoms
1.0
4.065 0.000 0.000
2.033 3.521 0.000
2.033 1.174 3.319
Eu F
1 2
direct
0.000 0.000 0.000
0.750 0.750 0.750
0.250 0.250 0.250